Ce5SiOs | PBE | relaxed

## Properties
Formation energy from raw total energies   -1.285 eV per formula unit
Total magnetic moment   2.0 μB/f.u.
Fermi-level density of states   2.555 states/eV/atom

abc: 8.8283 7.5206 10.3999
angles: 90.00 98.32 90.00
Space group C2/c (No. 15)
Asymmetric unit:
1 Ce 0.0000 0.0603 0.2500 [4 per cell]
2 Ce 0.1291 0.3527 0.5301 [8 per cell]
3 Ce 0.2404 0.2337 0.8641 [8 per cell]
4 Si 0.0000 0.4712 0.2500 [4 per cell]
5 Os 0.0000 0.0000 0.0000 [4 per cell]